A relaxed structure of Ti2Au2I. Source: the Alexandria database, functional PBE.

- Energy relative to the elements, uncorrected: -0.075 eV/atom

The structure in CIF format:
```
data_Ti2Au2I
_chemical_formula_sum 'Ti4 Au4 I2'
_cell_length_a 7.3163
_cell_length_b 7.3163
_cell_length_c 3.7674
_cell_angle_alpha 90.00
_cell_angle_beta 90.00
_cell_angle_gamma 90.00
_space_group_name_H-M_alt 'P 4/m b m'
_space_group_IT_number 127
_space_group_name_Hall '-P 4 2ab'
loop_
_atom_site_label
_atom_site_fract_x
_atom_site_fract_y
_atom_site_fract_z
Ti1 0.1523 0.3477 0.0000
Au1 0.1374 0.6374 0.5000
I1 0.0000 0.0000 0.0000
```

A relaxed structure of Ti2AuI2. Source: the Alexandria database, functional PBE.

- Energy relative to the elements, uncorrected: 0.343 eV/atom
- Excess energy over the best structure of this formula in the dataset: 114 kJ/mol of formula units

The structure in CIF format:
```
data_Ti2AuI2
_chemical_formula_sum 'Ti4 Au2 I4'
_cell_length_a 8.1602
_cell_length_b 8.1602
_cell_length_c 3.3182
_cell_angle_alpha 90.00
_cell_angle_beta 90.00
_cell_angle_gamma 90.00
_space_group_name_H-M_alt 'P 4/m b m'
_space_group_IT_number 127
_space_group_name_Hall '-P 4 2ab'
loop_
_atom_site_label
_atom_site_fract_x
_atom_site_fract_y
_atom_site_fract_z
Ti1 0.1550 0.3450 0.0000
Au1 0.0000 0.0000 0.5000
I1 0.1433 0.6433 0.5000
```

A relaxed structure of TiAuI2. Source: the Alexandria database, functional PBE.

- Energy relative to the elements, uncorrected: 0.180 eV/atom
- Excess energy over the best structure of this formula in the dataset: 0 kJ/mol of formula units

The structure in CIF format:
```
data_TiAuI2
_chemical_formula_sum 'Ti4 Au4 I8'
_cell_length_a 6.7738
_cell_length_b 6.7738
_cell_length_c 12.6081
_cell_angle_alpha 90.00
_cell_angle_beta 90.00
_cell_angle_gamma 90.00
_space_group_name_H-M_alt 'I -4 2 d'
_space_group_IT_number 122
_space_group_name_Hall 'I -4 2bw'
loop_
_atom_site_label
_atom_site_fract_x
_atom_site_fract_y
_atom_site_fract_z
Ti1 0.0000 0.0000 0.0000
Au1 0.0000 0.0000 0.5000
I1 0.2237 0.2500 0.1250
```

A relaxed structure of Ti2AuI8. Source: the Alexandria database, functional PBE.

- Energy relative to the elements, uncorrected: -0.579 eV/atom

The structure in CIF format:
```
data_Ti2AuI8
_chemical_formula_sum 'Ti4 Au2 I16'
_cell_length_a 14.6900
_cell_length_b 9.6315
_cell_length_c 7.9843
_cell_angle_alpha 90.00
_cell_angle_beta 90.59
_cell_angle_gamma 90.00
_space_group_name_H-M_alt 'C 1 2/m 1'
_space_group_IT_number 12
loop_
_space_group_symop_operation_xyz
'x,y,z'
'-x,-y,-z'
'-x,y,-z'
'x,-y,z'
'x+1/2,y+1/2,z'
'-x+1/2,-y+1/2,-z'
'-x+1/2,y+1/2,-z'
'x+1/2,-y+1/2,z'
loop_
_atom_site_label
_atom_site_fract_x
_atom_site_fract_y
_atom_site_fract_z
Ti1 0.1812 0.0000 0.1847
Au1 0.0000 0.0000 0.0000
I1 0.1224 0.2227 0.3249
I2 0.1426 0.5000 0.8066
I3 0.1561 0.0000 0.8484
```

A relaxed structure of TiAuI6. Source: the Alexandria database, functional PBE.

- Energy relative to the elements, uncorrected: -0.389 eV/atom
- Excess energy over the best structure of this formula in the dataset: 0 kJ/mol of formula units

The structure in CIF format:
```
data_TiAuI6
_chemical_formula_sum 'Ti1 Au1 I6'
_cell_length_a 6.4380
_cell_length_b 7.5318
_cell_length_c 8.2127
_cell_angle_alpha 110.62
_cell_angle_beta 109.93
_cell_angle_gamma 95.76
_space_group_name_H-M_alt 'P -1'
_space_group_IT_number 2
loop_
_space_group_symop_operation_xyz
'x,y,z'
'-x,-y,-z'
loop_
_atom_site_label
_atom_site_fract_x
_atom_site_fract_y
_atom_site_fract_z
Ti1 0.0000 0.0000 0.0000
Au1 0.5000 0.5000 0.0000
I1 0.1291 0.6502 0.8528
I2 0.1877 0.1449 0.7943
I3 0.3788 0.1687 0.3168
```

A relaxed structure of Ti2AuI2. Source: the Alexandria database, functional PBE.

- Energy relative to the elements, uncorrected: 0.107 eV/atom
- Excess energy over the best structure of this formula in the dataset: 0 kJ/mol of formula units

The structure in CIF format:
```
data_Ti2AuI2
_chemical_formula_sum 'Ti4 Au2 I4'
_cell_length_a 3.8093
_cell_length_b 3.8093
_cell_length_c 18.1357
_cell_angle_alpha 90.00
_cell_angle_beta 90.00
_cell_angle_gamma 90.00
_space_group_name_H-M_alt 'I 4/m m m'
_space_group_IT_number 139
_space_group_name_Hall '-I 4 2'
loop_
_atom_site_label
_atom_site_fract_x
_atom_site_fract_y
_atom_site_fract_z
Ti1 0.0000 0.5000 0.2500
Au1 0.0000 0.0000 0.0000
I1 0.0000 0.0000 0.3660
```

A relaxed structure of TiVAuI2. Source: the Alexandria database, functional PBE.

- Energy relative to the elements, uncorrected: 0.769 eV/atom
- Excess energy over the best structure of this formula in the dataset: 0 kJ/mol of formula units

The structure in CIF format:
```
data_TiVAuI2
_chemical_formula_sum 'Ti1 V1 Au1 I2'
_cell_length_a 5.2947
_cell_length_b 5.2947
_cell_length_c 5.1590
_cell_angle_alpha 90.00
_cell_angle_beta 90.00
_cell_angle_gamma 90.00
_space_group_name_H-M_alt 'P 4/m m m'
_space_group_IT_number 123
_space_group_name_Hall '-P 4 2'
loop_
_atom_site_label
_atom_site_fract_x
_atom_site_fract_y
_atom_site_fract_z
Ti1 0.0000 0.0000 0.0000
V1 0.0000 0.0000 0.5000
Au1 0.5000 0.5000 0.5000
I1 0.0000 0.5000 0.0000
```

A relaxed structure of TiVAuI2. Source: the Alexandria database, functional PBE.

- Energy relative to the elements, uncorrected: 0.777 eV/atom
- Excess energy over the best structure of this formula in the dataset: 4 kJ/mol of formula units

The structure in CIF format:
```
data_TiVAuI2
_chemical_formula_sum 'Ti1 V1 Au1 I2'
_cell_length_a 5.3710
_cell_length_b 5.3710
_cell_length_c 5.1575
_cell_angle_alpha 90.00
_cell_angle_beta 90.00
_cell_angle_gamma 90.00
_space_group_name_H-M_alt 'P 4/m m m'
_space_group_IT_number 123
_space_group_name_Hall '-P 4 2'
loop_
_atom_site_label
_atom_site_fract_x
_atom_site_fract_y
_atom_site_fract_z
Ti1 0.0000 0.0000 0.0000
V1 0.5000 0.5000 0.5000
Au1 0.5000 0.5000 0.0000
I1 0.0000 0.5000 0.5000
```

A relaxed structure of ZrTiAu2I. Source: the Alexandria database, functional PBE.

- Energy relative to the elements, uncorrected: 1.106 eV/atom

The structure in CIF format:
```
data_ZrTiAu2I
_chemical_formula_sum 'Zr1 Ti1 Au2 I1'
_cell_length_a 5.1907
_cell_length_b 5.1907
_cell_length_c 4.9498
_cell_angle_alpha 90.00
_cell_angle_beta 90.00
_cell_angle_gamma 90.00
_space_group_name_H-M_alt 'P 4/m m m'
_space_group_IT_number 123
_space_group_name_Hall '-P 4 2'
loop_
_atom_site_label
_atom_site_fract_x
_atom_site_fract_y
_atom_site_fract_z
Zr1 0.0000 0.0000 0.0000
Ti1 0.5000 0.5000 0.0000
Au1 0.0000 0.5000 0.5000
I1 0.5000 0.5000 0.5000
```

A relaxed structure of TlAu2I2. Source: the Alexandria database, functional PBE.

- Energy relative to the elements, uncorrected: 0.013 eV/atom
- Excess energy over the best structure of this formula in the dataset: 0 kJ/mol of formula units

The structure in CIF format:
```
data_TlAu2I2
_chemical_formula_sum 'Tl2 Au4 I4'
_cell_length_a 4.0510
_cell_length_b 4.0510
_cell_length_c 18.2026
_cell_angle_alpha 90.00
_cell_angle_beta 90.00
_cell_angle_gamma 90.00
_space_group_name_H-M_alt 'I 4/m m m'
_space_group_IT_number 139
_space_group_name_Hall '-I 4 2'
loop_
_atom_site_label
_atom_site_fract_x
_atom_site_fract_y
_atom_site_fract_z
Tl1 0.0000 0.0000 0.0000
Au1 0.0000 0.5000 0.2500
I1 0.0000 0.0000 0.3873
```

A relaxed structure of Tl2AuI. Source: the Alexandria database, functional PBE.

- Energy relative to the elements, uncorrected: -0.180 eV/atom
- Excess energy over the best structure of this formula in the dataset: 24 kJ/mol of formula units

The structure in CIF format:
```
data_Tl2AuI
_chemical_formula_sum 'Tl8 Au4 I4'
_cell_length_a 7.2458
_cell_length_b 7.2458
_cell_length_c 14.2050
_cell_angle_alpha 90.00
_cell_angle_beta 90.00
_cell_angle_gamma 90.00
_space_group_name_H-M_alt 'I -4 2 d'
_space_group_IT_number 122
_space_group_name_Hall 'I -4 2bw'
loop_
_atom_site_label
_atom_site_fract_x
_atom_site_fract_y
_atom_site_fract_z
Tl1 0.1930 0.2500 0.1250
Au1 0.0000 0.0000 0.0000
I1 0.0000 0.0000 0.5000
```